(1)
This record from Alexandria describes ScI2Br after structural relaxation. The functional is PBEsol.

Results
Uncorrected formation energy, meV per atom: -1150
Crystal system: tetragonal

Lattice parameters (Å, degrees): 10.356 10.356 5.287 90.00 90.00 90.00
Space group I-42d (No. 122)
One atom of each set of equivalent atoms:
Sc (0.000, 0.000, 0.000)
I (0.108, 0.750, 0.125)
Br (0.000, 0.000, 0.500)

=====

(2)
This record from Alexandria describes Y2AlHg after structural relaxation. The functional is PBEsol.

Results
Energy relative to the lowest polymorph listed for this composition, meV per atom: 26.7
Crystal system: cubic
Formation enthalpy at 0 K, eV/atom: -0.49

Lattice parameters (Å, degrees): 7.258 7.258 7.258 90.00 90.00 90.00
Space group Fm-3m (No. 225)
One atom of each set of equivalent atoms:
Y (0.250, 0.250, 0.250)
Al (0.000, 0.000, 0.000)
Hg (0.000, 0.000, 0.500)

=====

(3)
This record from Alexandria describes Pr2MnNiO6 after structural relaxation. The functional is PBEsol.

Results
Uncorrected formation energy, meV per atom: -2430
Crystal system: monoclinic

Lattice parameters (Å, degrees): 5.407 5.420 9.347 90.00 125.28 90.00
Space group P2_1/c (No. 14)
One atom of each set of equivalent atoms:
Pr (0.242, 0.039, 0.250)
Mn (0.000, 0.000, 0.500)
Ni (0.500, 0.000, 0.000)
O (0.172, 0.223, 0.961)
O (0.238, 0.712, 0.962)
O (0.315, 0.010, 0.744)

=====

(4)
This record from Alexandria describes AlCr after structural relaxation. The functional is PBEsol.

Results
Crystal system: cubic
Formation enthalpy at 0 K, eV/atom: 0.19

Lattice parameters (Å, degrees): 4.723 4.723 4.723 90.00 90.00 90.00
Space group P2_13 (No. 198)
One atom of each set of equivalent atoms:
Al (0.099, 0.401, 0.599)
Cr (0.108, 0.892, 0.392)

=====

(5)
This record from Alexandria describes Li2MgCd after structural relaxation. The functional is PBEsol.

Results
Energy relative to the lowest polymorph listed for this composition, meV per atom: 43.8
Crystal system: tetragonal
Formation enthalpy at 0 K, eV/atom: -0.15

Lattice parameters (Å, degrees): 3.329 3.329 6.764 90.00 90.00 90.00
Space group P4mm (No. 99)
One atom of each set of equivalent atoms:
Li (0.000, 0.000, 0.000)
Li (0.500, 0.500, 0.234)
Mg (0.000, 0.000, 0.501)
Cd (0.500, 0.500, 0.779)

=====

(6)
This record from Alexandria describes BaScCo2 after structural relaxation. The functional is PBEsol.

Results
Crystal system: tetragonal
Formation enthalpy at 0 K, eV/atom: 0.55

Lattice parameters (Å, degrees): 4.776 4.776 3.316 90.00 90.00 90.00
Space group P4/mmm (No. 123)
One atom of each set of equivalent atoms:
Ba (0.000, 0.000, 0.000)
Sc (0.500, 0.500, 0.000)
Co (0.000, 0.500, 0.500)

=====

(7)
This record from Alexandria describes ZrNi3 after structural relaxation. The functional is PBEsol.

Results
Crystal system: hexagonal
Formation enthalpy at 0 K, eV/atom: -0.49

Lattice parameters (Å, degrees): 5.2321 5.2321 4.2498 90.00 90.00 120.00
Space group P6_3/mmc (No. 194)
One atom of each set of equivalent atoms:
Zr (0.3333, 0.6667, 0.2500)
Ni (0.1560, 0.3120, 0.7500)

=====

(8)
This record from Alexandria describes LuCdHg2 after structural relaxation. The functional is PBEsol.

Results
Crystal system: cubic
Formation enthalpy at 0 K, eV/atom: -0.42

Lattice parameters (Å, degrees): 6.972 6.972 6.972 90.00 90.00 90.00
Space group Fm-3m (No. 225)
One atom of each set of equivalent atoms:
Lu (0.000, 0.000, 0.000)
Cd (0.000, 0.000, 0.500)
Hg (0.250, 0.250, 0.250)

=====

Number 1: total moment 0.000 μB/f.u., calculated volume 35.4 Å³/atom. Number 2: total moment 0.001 μB/f.u., calculated volume 23.9 Å³/atom. Number 3: total moment 4.990 μB/f.u., calculated volume 11.2 Å³/atom. Number 4: total moment 0.002 μB/f.u., calculated volume 13.2 Å³/atom. Number 5: total moment 0.000 μB/f.u., calculated volume 18.7 Å³/atom. Number 6: total moment 1.439 μB/f.u., calculated volume 18.9 Å³/atom. Number 7: total moment 0.000 μB/f.u., calculated volume 12.6 Å³/atom. Number 8: total moment 0.000 μB/f.u., calculated volume 21.2 Å³/atom.